# LiCr2Au

A relaxed LiCr2Au crystal (PBE-GGA, the Alexandria database).

a b c (Å): 3.3218 3.3218 4.9794
angles (deg): 90.00 90.00 90.00
Closest atoms and distances in Å follow each position.
Element x y z (fractional)
1 Li 0.5000 0.5000 0.2500  2 Au 2.49, 8 Cr 2.53
2 Au 0.5000 0.5000 0.7500  2 Li 2.49
3 Cr 0.0000 0.0000 0.0636  1 Cr 1.86
4 Cr 0.0000 0.0000 0.4364  1 Cr 1.86

Properties
E_tot = -5.675 eV/atom
Density = 9.31 g cm⁻³
Crystal system = tetragonal
M_tot = 0.00 μB/cell
N(E_F) = 2.07 states/eV/cell

***

# LiCr2Au

A relaxed LiCr2Au crystal (PBE-GGA, the Alexandria database).

a b c (Å): 2.6298 4.2761 4.7850
angles (deg): 90.00 90.00 90.00
Closest atoms and distances in Å follow each position.
Element x y z (fractional)
1 Au 0.5000 0.5000 0.7500  2 Li 2.39, 2 Au 2.63
2 Cr 0.0000 0.0000 0.4550  1 Cr 1.96
3 Cr 0.0000 0.0000 0.0450  1 Cr 1.96
4 Li 0.5000 0.5000 0.2500  2 Au 2.39, 2 Li 2.63

Properties
E_tot = -5.752 eV/atom
Density = 9.50 g cm⁻³
Crystal system = orthorhombic
M_tot = 0.00 μB/cell
N(E_F) = 3.59 states/eV/cell

***

# LiCrAu2

A relaxed LiCrAu2 crystal (PBE-GGA, the Alexandria database).

a b c (Å): 3.4609 3.4609 5.6550
angles (deg): 90.00 90.00 90.00
Closest atoms and distances in Å follow each position.
Element x y z (fractional)
1 Li 0.5000 0.5000 0.7719  6 Au 2.69-2.84, 4 Cr 2.93
2 Au 0.0000 0.0000 0.9706  4 Li 2.69, 2 Cr 2.73-2.92, 4 Au 2.98
3 Au 0.5000 0.5000 0.2705  4 Cr 2.74, 2 Li 2.82-2.84, 4 Au 2.98
4 Cr 0.0000 0.0000 0.4870  6 Au 2.73-2.92, 4 Li 2.93

Properties
E_tot = -4.544 eV/atom
Density = 11.10 g cm⁻³
Crystal system = tetragonal
M_tot = 4.29 μB/cell
N(E_F) = 1.93 states/eV/cell